Density functional theory data (PBE) for crystalline Tb6Gd at its relaxed geometry.

Computed properties:
**Formation energy from the elements**: 32.1 kcal/mol of atoms
**Magnetic moment**: 6.532 Bohr magnetons per cell
**Crystal system**: cubic
**E_tot**: -0.33711 Ry per atom

Cell lengths 6.981, 6.981, 6.981 Å; angles 109.47, 109.47, 109.47 degrees
Element x y z (fractional)
Tb: 0.250 0.500 0.750
Tb: 0.250 0.750 0.500
Tb: 0.500 0.250 0.750
Tb: 0.500 0.750 0.250
Tb: 0.750 0.250 0.500
Tb: 0.750 0.500 0.250
Gd: 0.000 0.000 0.000